No. 1
# PmTm4Ag5, relaxed, DFT GGA-PBE
data_PmTm4Ag5
_chemical_formula_sum 'Pm1 Tm4 Ag5'
_symmetry_space_group_name_H-M 'P 4/m m m'
_symmetry_Int_Tables_number 123
_symmetry_space_group_name_Hall '-P 4 2'
_cell_length_a 3.577
_cell_length_b 3.577
_cell_length_c 18.435
_cell_angle_alpha 90.00
_cell_angle_beta 90.00
_cell_angle_gamma 90.00
loop_
_atom_site_label
_atom_site_type_symbol
_atom_site_fract_x
_atom_site_fract_y
_atom_site_fract_z
_atom_site_occupancy
Pm1 Pm 0.000 0.000 0.000 1
Tm1 Tm 0.000 0.000 0.205 1
Tm2 Tm 0.000 0.000 0.402 1
Ag1 Ag 0.500 0.500 0.111 1
Ag2 Ag 0.500 0.500 0.303 1
Ag3 Ag 0.500 0.500 0.500 1
# total energy = -4.02 eV per atom
# N(E_F) = 4.7 states/eV per cell
# V = 235.9 Å³/cell
# magnetic moment = 0.00 μB/atom
# formation energy = -3.3 eV/f.u.

---

No. 2
# Y2IrSe, relaxed, DFT GGA-PBE
data_Y2IrSe
_chemical_formula_sum 'Y4 Ir2 Se2'
_symmetry_space_group_name_H-M 'C 1 2/m 1'
_symmetry_Int_Tables_number 12
_symmetry_space_group_name_Hall '-C 2y'
_cell_length_a 6.930
_cell_length_b 3.996
_cell_length_c 7.408
_cell_angle_alpha 90.00
_cell_angle_beta 108.08
_cell_angle_gamma 90.00
loop_
_atom_site_label
_atom_site_type_symbol
_atom_site_fract_x
_atom_site_fract_y
_atom_site_fract_z
_atom_site_occupancy
Y1 Y 0.243 0.000 0.228 1
Ir1 Ir 0.000 0.500 0.000 1
Se1 Se 0.000 0.000 0.500 1
# total energy = -7.53 eV per atom
# N(E_F) = 4.7 states/eV per cell
# formation energy (no corrections) = -1.214 eV/atom
# V = 195.0 Å³/cell
# magnetic moment = 0.00 μB/atom

---

No. 3
# LaY11, relaxed, DFT GGA-PBE
data_LaY11
_chemical_formula_sum 'La1 Y11'
_symmetry_space_group_name_H-M 'P 6/m m m'
_symmetry_Int_Tables_number 191
_symmetry_space_group_name_Hall '-P 6 2'
_cell_length_a 11.3554
_cell_length_b 11.3554
_cell_length_c 3.5485
_cell_angle_alpha 90.00
_cell_angle_beta 90.00
_cell_angle_gamma 120.00
loop_
_atom_site_label
_atom_site_type_symbol
_atom_site_fract_x
_atom_site_fract_y
_atom_site_fract_z
_atom_site_occupancy
La1 La 0.0000 0.0000 0.0000 1
Y1 Y 0.0000 0.5000 0.0000 1
Y2 Y 0.1783 0.3566 0.5000 1
Y3 Y 0.3333 0.6667 0.0000 1
# total energy = -6.30 eV per atom
# N(E_F) = 18.4 states/eV per cell
# V = 396.3 Å³/cell
# magnetic moment = 0.00 μB/atom
# formation energy = 0.4 eV/f.u.

---

No. 4
# BaCa3Al8, relaxed, DFT GGA-PBE
data_BaCa3Al8
_chemical_formula_sum 'Ba1 Ca3 Al8'
_symmetry_space_group_name_H-M 'P 3 m 1'
_symmetry_Int_Tables_number 156
_symmetry_space_group_name_Hall 'P 3 -2"'
_cell_length_a 5.7870
_cell_length_b 5.7870
_cell_length_c 9.3875
_cell_angle_alpha 90.00
_cell_angle_beta 90.00
_cell_angle_gamma 120.00
loop_
_atom_site_label
_atom_site_type_symbol
_atom_site_fract_x
_atom_site_fract_y
_atom_site_fract_z
_atom_site_occupancy
Ba1 Ba 0.0000 0.0000 0.0000 1
Ca1 Ca 0.0000 0.0000 0.3671 1
Ca2 Ca 0.6667 0.3333 0.5004 1
Ca3 Ca 0.6667 0.3333 0.8654 1
Al1 Al 0.1642 0.3284 0.6766 1
Al2 Al 0.3333 0.6667 0.4376 1
Al3 Al 0.3333 0.6667 0.9372 1
Al4 Al 0.5038 0.0076 0.1931 1
# total energy = -3.42 eV per atom
# N(E_F) = 7.2 states/eV per cell
# V = 272.3 Å³/cell
# magnetic moment = 0.00 μB/atom
# formation energy = -3.2 eV/f.u.

---

No. 5
# SrBiN2, relaxed, DFT GGA-PBE
data_SrBiN2
_chemical_formula_sum 'Sr2 Bi2 N4'
_symmetry_space_group_name_H-M 'P -1'
_symmetry_Int_Tables_number 2
_symmetry_space_group_name_Hall '-P 1'
_cell_length_a 4.484
_cell_length_b 4.552
_cell_length_c 10.290
_cell_angle_alpha 77.29
_cell_angle_beta 77.47
_cell_angle_gamma 90.00
loop_
_atom_site_label
_atom_site_type_symbol
_atom_site_fract_x
_atom_site_fract_y
_atom_site_fract_z
_atom_site_occupancy
Sr1 Sr 0.141 0.142 0.217 1
Bi1 Bi 0.000 0.500 0.500 1
Bi2 Bi 0.500 0.000 0.500 1
N1 N 0.221 0.719 0.061 1
N2 N 0.281 0.779 0.940 1
# total energy = -5.88 eV per atom
# N(E_F) = 5.7 states/eV per cell
# formation energy (no corrections) = -0.326 eV/atom
# V = 199.8 Å³/cell
# magnetic moment = 0.06 μB/atom

---

No. 6
# Dy2U2Tc3, relaxed, DFT GGA-PBE
data_Dy2U2Tc3
_chemical_formula_sum 'Dy4 U4 Tc6'
_symmetry_space_group_name_H-M 'P 1 21/c 1'
_symmetry_Int_Tables_number 14
_symmetry_space_group_name_Hall '-P 2ybc'
_cell_length_a 5.992
_cell_length_b 7.196
_cell_length_c 7.194
_cell_angle_alpha 90.00
_cell_angle_beta 94.76
_cell_angle_gamma 90.00
loop_
_atom_site_label
_atom_site_type_symbol
_atom_site_fract_x
_atom_site_fract_y
_atom_site_fract_z
_atom_site_occupancy
Dy1 Dy 0.147 0.155 0.174 1
U1 U 0.367 0.697 0.014 1
Tc1 Tc 0.000 0.000 0.500 1
Tc2 Tc 0.355 0.524 0.329 1
# total energy = -9.07 eV per atom
# N(E_F) = 19.7 states/eV per cell
# V = 309.2 Å³/cell
# magnetic moment = 0.18 μB/atom
# formation energy = -0.6 eV/f.u.